1.
Compound: Sm6DyY4
Source: Alexandria
Functional: PBE
Structure: relaxed

abc: 5.664 5.664 25.822
angles: 90.00 90.00 118.09
Atoms (fractional coordinates):
Sm1 0.000 0.000 0.000
Sm2 0.000 0.000 0.500
Sm3 0.044 0.956 0.750
Sm4 0.303 0.697 0.103
Sm5 0.303 0.697 0.397
Sm6 0.372 0.628 0.683
Sm7 0.372 0.628 0.817
Sm8 0.628 0.372 0.183
Sm9 0.628 0.372 0.317
Sm10 0.697 0.303 0.603
Sm11 0.697 0.303 0.897
Sm12 0.956 0.044 0.250
Dy1 0.293 0.707 0.250
Dy2 0.707 0.293 0.750
Y1 0.038 0.962 0.623
Y2 0.038 0.962 0.877
Y3 0.349 0.651 0.544
Y4 0.349 0.651 0.956
Y5 0.651 0.349 0.044
Y6 0.651 0.349 0.456
Y7 0.962 0.038 0.123
Y8 0.962 0.038 0.377

Its volume is 33.22 Å³/atom. Its total magnetization is 0.003 Bohr magnetons per cell. The space group is No. 63. As for the formation enthalpy at 0 K: 0.120 eV per atom. As for the energy relative to the lowest polymorph listed for this composition: 0.0 meV per atom.

2.
Compound: Sm3Dy5Y
Source: Alexandria
Functional: PBE
Structure: relaxed

abc: 8.880 8.880 11.416
angles: 107.79 107.79 44.50
Atoms (fractional coordinates):
Sm1 0.000 0.000 0.000
Sm2 0.000 0.000 0.500
Sm3 0.138 0.386 0.644
Sm4 0.386 0.138 0.144
Sm5 0.614 0.862 0.856
Sm6 0.862 0.614 0.356
Dy1 0.055 0.296 0.872
Dy2 0.296 0.055 0.372
Dy3 0.318 0.682 0.250
Dy4 0.389 0.396 0.455
Dy5 0.396 0.389 0.955
Dy6 0.604 0.611 0.045
Dy7 0.611 0.604 0.545
Dy8 0.682 0.318 0.750
Dy9 0.704 0.945 0.628
Dy10 0.945 0.704 0.128
Y1 0.228 0.772 0.750
Y2 0.772 0.228 0.250

Its volume is 33.09 Å³/atom. Its total magnetization is 0.000 Bohr magnetons per cell. The space group is No. 15. As for the formation enthalpy at 0 K: 0.166 eV per atom. As for the energy relative to the lowest polymorph listed for this composition: 0.0 meV per atom.

3.
Compound: Sm6Dy2Y3
Source: Alexandria
Functional: PBE
Structure: relaxed

abc: 32.244 32.244 32.244
angles: 6.40 6.40 6.40
Atoms (fractional coordinates):
Sm1 0.091 0.091 0.091
Sm2 0.182 0.182 0.182
Sm3 0.364 0.364 0.364
Sm4 0.636 0.636 0.636
Sm5 0.818 0.818 0.818
Sm6 0.909 0.909 0.909
Dy1 0.454 0.454 0.454
Dy2 0.546 0.546 0.546
Y1 0.000 0.000 0.000
Y2 0.273 0.273 0.273
Y3 0.727 0.727 0.727

Its volume is 32.81 Å³/atom. Its total magnetization is 0.000 Bohr magnetons per cell. The space group is No. 166. As for the formation enthalpy at 0 K: 0.014 eV per atom. As for the energy relative to the lowest polymorph listed for this composition: 0.0 meV per atom.

4.
Compound: Sm2DyY5
Source: Alexandria
Functional: PBE
Structure: relaxed

abc: 7.167 14.334 5.056
angles: 90.00 90.00 90.00
Atoms (fractional coordinates):
Sm1 0.249 0.125 0.000
Sm2 0.251 0.625 0.000
Sm3 0.749 0.375 0.000
Sm4 0.751 0.875 0.000
Dy1 0.000 0.000 0.500
Dy2 0.500 0.500 0.500
Y1 0.000 0.249 0.500
Y2 0.000 0.500 0.500
Y3 0.000 0.751 0.500
Y4 0.249 0.875 0.000
Y5 0.251 0.375 0.000
Y6 0.500 0.000 0.500
Y7 0.500 0.251 0.500
Y8 0.500 0.749 0.500
Y9 0.749 0.625 0.000
Y10 0.751 0.125 0.000

Its volume is 32.46 Å³/atom. Its total magnetization is 0.000 Bohr magnetons per cell. The space group is No. 55. As for the formation enthalpy at 0 K: 0.020 eV per atom. As for the energy relative to the lowest polymorph listed for this composition: 0.0 meV per atom.

5.
Compound: Sm4Dy4Y
Source: Alexandria
Functional: PBE
Structure: relaxed

abc: 8.905 8.905 6.798
angles: 111.78 111.78 36.69
Atoms (fractional coordinates):
Sm1 0.133 0.133 0.462
Sm2 0.281 0.281 0.213
Sm3 0.719 0.719 0.787
Sm4 0.867 0.867 0.538
Dy1 0.073 0.073 0.881
Dy2 0.371 0.371 0.815
Dy3 0.629 0.629 0.185
Dy4 0.927 0.927 0.119
Y1 0.500 0.500 0.500

Its volume is 32.94 Å³/atom. Its total magnetization is 0.000 Bohr magnetons per cell. The space group is No. 12. As for the formation enthalpy at 0 K: 0.105 eV per atom. As for the energy relative to the lowest polymorph listed for this composition: 86.3 meV per atom.

6.
Compound: Sm4Dy6Y19
Source: Alexandria
Functional: PBE
Structure: relaxed

abc: 10.827 10.827 10.827
angles: 109.47 109.47 109.47
Atoms (fractional coordinates):
Sm1 0.000 0.000 0.641
Sm2 0.000 0.641 0.000
Sm3 0.359 0.359 0.359
Sm4 0.641 0.000 0.000
Dy1 0.124 0.624 0.500
Dy2 0.376 0.500 0.876
Dy3 0.500 0.124 0.624
Dy4 0.500 0.876 0.376
Dy5 0.624 0.500 0.124
Dy6 0.876 0.376 0.500
Y1 0.000 0.000 0.000
Y2 0.000 0.261 0.261
Y3 0.000 0.739 0.739
Y4 0.014 0.796 0.341
Y5 0.204 0.218 0.545
Y6 0.218 0.545 0.204
Y7 0.261 0.000 0.261
Y8 0.261 0.261 0.000
Y9 0.327 0.782 0.986
Y10 0.341 0.014 0.796
Y11 0.455 0.673 0.659
Y12 0.545 0.204 0.218
Y13 0.659 0.455 0.673
Y14 0.673 0.659 0.455
Y15 0.739 0.000 0.739
Y16 0.739 0.739 0.000
Y17 0.782 0.986 0.327
Y18 0.796 0.341 0.014
Y19 0.986 0.327 0.782

Its volume is 33.69 Å³/atom. Its total magnetization is 0.003 Bohr magnetons per cell. The space group is No. 197. As for the formation enthalpy at 0 K: 0.382 eV per atom.

7.
Compound: Sm7DyY3
Source: Alexandria
Functional: PBE
Structure: relaxed

abc: 7.153 7.153 8.701
angles: 90.00 90.00 120.00
Atoms (fractional coordinates):
Sm1 0.000 0.000 0.000
Sm2 0.166 0.331 0.329
Sm3 0.166 0.834 0.329
Sm4 0.501 0.002 0.990
Sm5 0.501 0.499 0.990
Sm6 0.669 0.834 0.329
Sm7 0.998 0.499 0.990
Dy1 0.667 0.333 0.319
Y1 0.334 0.167 0.658
Y2 0.833 0.167 0.658
Y3 0.833 0.666 0.658

Its volume is 35.05 Å³/atom. Its total magnetization is 0.000 Bohr magnetons per cell. The space group is No. 156. As for the formation enthalpy at 0 K: 0.184 eV per atom. As for the energy relative to the lowest polymorph listed for this composition: 54.6 meV per atom.

8.
Compound: Sm3Dy4Y
Source: Alexandria
Functional: PBE
Structure: relaxed

abc: 23.521 3.496 6.729
angles: 90.00 106.56 90.00
Atoms (fractional coordinates):
Sm1 0.000 0.000 0.000
Sm2 0.126 0.000 0.871
Sm3 0.374 0.500 0.129
Sm4 0.500 0.500 0.000
Sm5 0.626 0.500 0.871
Sm6 0.874 0.000 0.129
Dy1 0.125 0.000 0.383
Dy2 0.240 0.500 0.734
Dy3 0.260 0.000 0.266
Dy4 0.375 0.500 0.617
Dy5 0.625 0.500 0.383
Dy6 0.740 0.000 0.734
Dy7 0.760 0.500 0.266
Dy8 0.875 0.000 0.617
Y1 0.000 0.500 0.500
Y2 0.500 0.000 0.500

Its volume is 33.15 Å³/atom. Its total magnetization is 0.000 Bohr magnetons per cell. The space group is No. 12. As for the formation enthalpy at 0 K: 0.159 eV per atom. As for the energy relative to the lowest polymorph listed for this composition: 141.7 meV per atom.

9.
Compound: Sm6Dy2Y5
Source: Alexandria
Functional: PBE
Structure: relaxed

abc: 11.698 20.515 3.625
angles: 90.00 90.00 90.00
Atoms (fractional coordinates):
Sm1 0.062 0.079 0.000
Sm2 0.081 0.366 0.000
Sm3 0.172 0.635 0.500
Sm4 0.328 0.135 0.500
Sm5 0.419 0.866 0.000
Sm6 0.438 0.579 0.000
Sm7 0.562 0.421 0.000
Sm8 0.581 0.134 0.000
Sm9 0.672 0.865 0.500
Sm10 0.828 0.365 0.500
Sm11 0.919 0.634 0.000
Sm12 0.938 0.921 0.000
Dy1 0.168 0.788 0.000
Dy2 0.332 0.288 0.000
Dy3 0.668 0.712 0.000
Dy4 0.832 0.212 0.000
Y1 0.000 0.500 0.500
Y2 0.091 0.225 0.500
Y3 0.198 0.944 0.500
Y4 0.302 0.444 0.500
Y5 0.409 0.725 0.500
Y6 0.500 0.000 0.500
Y7 0.591 0.275 0.500
Y8 0.698 0.556 0.500
Y9 0.802 0.056 0.500
Y10 0.909 0.775 0.500

Its volume is 33.46 Å³/atom. Its total magnetization is 0.000 Bohr magnetons per cell. The space group is No. 55. As for the formation enthalpy at 0 K: 0.099 eV per atom.

10.
Compound: Sm3Dy7Y
Source: Alexandria
Functional: PBE
Structure: relaxed

abc: 8.436 8.436 8.436
angles: 139.54 97.01 96.72
Atoms (fractional coordinates):
Sm1 0.000 0.000 0.000
Sm2 0.211 0.711 0.500
Sm3 0.789 0.289 0.500
Dy1 0.010 0.804 0.206
Dy2 0.205 0.500 0.705
Dy3 0.403 0.196 0.206
Dy4 0.500 0.000 0.500
Dy5 0.597 0.804 0.794
Dy6 0.795 0.500 0.295
Dy7 0.990 0.196 0.794
Y1 0.500 0.500 0.000

Its volume is 33.23 Å³/atom. Its total magnetization is 0.363 Bohr magnetons per cell. The space group is No. 71. As for the formation enthalpy at 0 K: 0.264 eV per atom. As for the energy relative to the lowest polymorph listed for this composition: 121.2 meV per atom.

Q: Look up the formation enthalpy at 0 K of the tenth one.
A: 0.264 eV per atom

Q: Which value of formation enthalpy at 0 K does entry 1 give?
A: 0.120 eV per atom